# 1
{
  "formula": "TbPr3Tm2Te6",
  "functional": "PBE",
  "state": "optimized geometry",
  "cell": [[9.7579, -2.1759, 0.0000], [9.7579, 2.1759, 0.0000], [-2.4611, 0.0000, 8.6826]],
  "species": ["Tb", "Pr", "Pr", "Pr", "Tm", "Tm", "Te", "Te", "Te", "Te", "Te", "Te"],
  "fractional_positions": [[0.0000, 0.0000, 0.0000], [0.0000, 0.0000, 0.5000], [0.3361, 0.3361, 0.1687], [0.6639, 0.6639, 0.8313], [0.3346, 0.3346, 0.6698], [0.6654, 0.6654, 0.3302], [0.1651, 0.1651, 0.0946], [0.1717, 0.1717, 0.5713], [0.4947, 0.4947, 0.7561], [0.5053, 0.5053, 0.2439], [0.8283, 0.8283, 0.4287], [0.8349, 0.8349, 0.9054]],
  "formation_energy_uncorrected_ev_per_atom": -1.3381
}

# 2
{
  "formula": "Tb3Pr2TmTe6",
  "functional": "PBE",
  "state": "optimized geometry",
  "cell": [[9.6366, -2.1860, 0.0000], [9.6366, 2.1860, 0.0000], [-1.9386, 0.0000, 8.6772]],
  "species": ["Tb", "Tb", "Tb", "Pr", "Pr", "Tm", "Te", "Te", "Te", "Te", "Te", "Te"],
  "fractional_positions": [[0.0000, 0.0000, 0.0000], [0.3242, 0.3242, 0.6645], [0.6758, 0.6758, 0.3355], [0.3280, 0.3280, 0.1633], [0.6720, 0.6720, 0.8367], [0.0000, 0.0000, 0.5000], [0.1604, 0.1604, 0.5708], [0.1608, 0.1608, 0.0891], [0.4958, 0.4958, 0.7429], [0.5042, 0.5042, 0.2571], [0.8392, 0.8392, 0.9109], [0.8396, 0.8396, 0.4292]],
  "formation_energy_uncorrected_ev_per_atom": -1.3319
}

# 3
{
  "formula": "TbPr2YTe6",
  "functional": "PBE",
  "state": "optimized geometry",
  "cell": [[3.9433, 2.2767, 7.0975], [-3.9433, 2.2767, 7.0975], [0.0000, -4.5534, 7.0975]],
  "species": ["Tb", "Pr", "Pr", "Y", "Te", "Te", "Te", "Te", "Te", "Te"],
  "fractional_positions": [[0.0000, 0.0000, 0.0000], [0.3089, 0.3089, 0.3089], [0.8089, 0.8089, 0.8089], [0.5000, 0.5000, 0.5000], [0.1109, 0.3895, 0.7271], [0.2276, 0.8890, 0.6102], [0.3895, 0.7271, 0.1109], [0.6102, 0.2276, 0.8890], [0.7271, 0.1109, 0.3895], [0.8890, 0.6102, 0.2276]],
  "formation_energy_uncorrected_ev_per_atom": -1.3801
}

# 4
{
  "formula": "Tb2PrY3Te6",
  "functional": "PBE",
  "state": "optimized geometry",
  "cell": [[9.5787, -2.1853, 0.0000], [9.5787, 2.1853, 0.0000], [-2.0108, 0.0000, 8.6157]],
  "species": ["Tb", "Tb", "Pr", "Y", "Y", "Y", "Te", "Te", "Te", "Te", "Te", "Te"],
  "fractional_positions": [[0.1645, 0.1645, 0.3300], [0.8355, 0.8355, 0.6700], [0.5000, 0.5000, 0.0000], [0.1616, 0.1616, 0.8333], [0.5000, 0.5000, 0.5000], [0.8384, 0.8384, 0.1667], [0.0012, 0.0012, 0.2601], [0.3278, 0.3278, 0.9142], [0.3324, 0.3324, 0.4159], [0.6676, 0.6676, 0.5841], [0.6722, 0.6722, 0.0858], [0.9988, 0.9988, 0.7399]],
  "formation_energy_uncorrected_ev_per_atom": -1.3322
}

# 5
{
  "formula": "Tb3PrY2Te6",
  "functional": "PBE",
  "state": "optimized geometry",
  "cell": [[9.5768, -2.1866, 0.0000], [9.5768, 2.1866, 0.0000], [-1.9841, 0.0000, 8.6218]],
  "species": ["Tb", "Tb", "Tb", "Pr", "Y", "Y", "Te", "Te", "Te", "Te", "Te", "Te"],
  "fractional_positions": [[0.0000, 0.0000, 0.0000], [0.3388, 0.3388, 0.6665], [0.6612, 0.6612, 0.3335], [0.0000, 0.0000, 0.5000], [0.3359, 0.3359, 0.1706], [0.6641, 0.6641, 0.8294], [0.1681, 0.1681, 0.0836], [0.1722, 0.1722, 0.5867], [0.4984, 0.4984, 0.2403], [0.5016, 0.5016, 0.7597], [0.8278, 0.8278, 0.4133], [0.8319, 0.8319, 0.9164]],
  "formation_energy_uncorrected_ev_per_atom": -1.3318
}

# 6
{
  "formula": "TbPr2Y3Te6",
  "functional": "PBE",
  "state": "optimized geometry",
  "cell": [[9.6599, -2.1942, 0.0000], [9.6599, 2.1942, 0.0000], [-2.1055, 0.0000, 8.6626]],
  "species": ["Tb", "Pr", "Pr", "Y", "Y", "Y", "Te", "Te", "Te", "Te", "Te", "Te"],
  "fractional_positions": [[0.0000, 0.0000, 0.0000], [0.3307, 0.3307, 0.6631], [0.6693, 0.6693, 0.3369], [0.0000, 0.0000, 0.5000], [0.3284, 0.3284, 0.1653], [0.6716, 0.6716, 0.8347], [0.1621, 0.1621, 0.5912], [0.1644, 0.1644, 0.0733], [0.4960, 0.4960, 0.2480], [0.5040, 0.5040, 0.7520], [0.8356, 0.8356, 0.9267], [0.8379, 0.8379, 0.4088]],
  "formation_energy_uncorrected_ev_per_atom": -1.3555
}